Material: TaP3Pb
Method: DFT, GGA-PBEsol
State: optimized geometry

Lattice parameters (Å, degrees): 4.8118 4.8118 4.8118 90.00 90.00 90.00
Fractional positions:
Ta (0.0000, 0.0000, 0.0000)
P (0.0000, 0.0000, 0.5000)
P (0.0000, 0.5000, 0.0000)
P (0.5000, 0.0000, 0.0000)
Pb (0.5000, 0.5000, 0.5000)

The formation energy is 0.1999 eV per atom. Its energy is -6.585 eV per atom. For the calculated density, the calculation gives 7.170 g/cm³. The magnetic moment is 0.000 μB/atom. Its crystal system is cubic.